Material: Mn2TcH
Method: DFT, PBE
State: optimized geometry

Cell and atoms, written as extended XYZ:
```
4
Lattice="0.000 2.798 2.798 2.798 0.000 2.798 2.798 2.798 0.000" Properties=species:S:1:pos:R:3 pbc="T T T"
Mn 1.399 1.399 1.399
Mn 4.197 4.197 4.197
Tc 0.000 0.000 0.000
H 2.798 2.798 2.798
```

Output
- spin magnetization (μB per formula unit) = 1.9
- mass density (Mg/m³) = 7.915
- calculated total energy (eV/cell) = -29.27